## Ac3Ni4P4 (GGA-PBE)

Data for Ac3Ni4P4 after structural relaxation.

```
data_Ac3Ni4P4
_chemical_formula_sum 'Ac3 Ni4 P4'
_cell_length_a 4.086
_cell_length_b 4.276
_cell_length_c 12.173
_cell_angle_alpha 79.93
_cell_angle_beta 80.34
_cell_angle_gamma 89.98
_space_group_name_H-M_alt 'P -1'
_space_group_IT_number 2
loop_
_space_group_symop_operation_xyz
'x,y,z'
'-x,-y,-z'
loop_
_atom_site_label
_atom_site_type_symbol
_atom_site_fract_x
_atom_site_fract_y
_atom_site_fract_z
Ac1 Ac 0.000 0.000 0.000
Ac2 Ac 0.349 0.849 0.303
Ni1 Ni 0.097 0.597 0.805
Ni2 Ni 0.250 0.260 0.501
P1 P 0.199 0.702 0.602
P2 P 0.447 0.447 0.107
```

- Crystal system: triclinic
- Total DFT energy (no corrections): -6.16 eV per atom
- Calculated volume: 18.8 Å³ per atom
- DFT formation energy: -965.7 meV/atom
- Spin magnetization: 0.0 μB/f.u.

=====

## AcNi3P3 (GGA-PBE)

Data for AcNi3P3 after structural relaxation.

```
data_AcNi3P3
_chemical_formula_sum 'Ac6 Ni18 P18'
_cell_length_a 6.5138
_cell_length_b 6.5138
_cell_length_c 21.2426
_cell_angle_alpha 90.00
_cell_angle_beta 90.00
_cell_angle_gamma 120.00
_space_group_name_H-M_alt 'R -3'
_space_group_IT_number 148
_space_group_name_Hall '-R 3'
loop_
_atom_site_label
_atom_site_type_symbol
_atom_site_fract_x
_atom_site_fract_y
_atom_site_fract_z
Ac1 Ac 0.0000 0.0000 0.1672
Ni1 Ni 0.0006 0.6643 0.3708
P1 P 0.0011 0.6760 0.6000
```

- Crystal system: trigonal
- Total DFT energy (no corrections): -6.03 eV per atom
- Energy above the lowest structure with this stoichiometry: 0.114 eV per atom
- Calculated volume: 18.6 Å³ per atom
- DFT formation energy: -650.1 meV/atom
- Spin magnetization: 0.0 μB/f.u.

=====

## AcNi3P3 (GGA-PBE)

Data for AcNi3P3 after structural relaxation.

```
data_AcNi3P3
_chemical_formula_sum 'Ac2 Ni6 P6'
_cell_length_a 6.212
_cell_length_b 6.212
_cell_length_c 6.212
_cell_angle_alpha 90.00
_cell_angle_beta 90.00
_cell_angle_gamma 90.00
_space_group_name_H-M_alt 'P m -3 n'
_space_group_IT_number 223
_space_group_name_Hall '-P 4n 2 3'
loop_
_atom_site_label
_atom_site_type_symbol
_atom_site_fract_x
_atom_site_fract_y
_atom_site_fract_z
Ac1 Ac 0.000 0.000 0.000
Ni1 Ni 0.000 0.250 0.500
P1 P 0.000 0.500 0.250
```

- Crystal system: cubic
- Total DFT energy (no corrections): -6.15 eV per atom
- Energy above the lowest structure with this stoichiometry: 0.000 eV per atom
- Calculated volume: 17.1 Å³ per atom
- DFT formation energy: -763.6 meV/atom
- Spin magnetization: 0.0 μB/f.u.

=====

## Ac2NiP (GGA-PBE)

Data for Ac2NiP after structural relaxation.

```
data_Ac2NiP
_chemical_formula_sum 'Ac6 Ni3 P3'
_cell_length_a 4.2978
_cell_length_b 4.2978
_cell_length_c 22.0737
_cell_angle_alpha 90.00
_cell_angle_beta 90.00
_cell_angle_gamma 120.00
_space_group_name_H-M_alt 'R -3 m'
_space_group_IT_number 166
_space_group_name_Hall '-R 3 2"'
loop_
_atom_site_label
_atom_site_type_symbol
_atom_site_fract_x
_atom_site_fract_y
_atom_site_fract_z
Ac1 Ac 0.0000 0.0000 0.2489
Ni1 Ni 0.0000 0.0000 0.5000
P1 P 0.0000 0.0000 0.0000
```

- Crystal system: trigonal
- Total DFT energy (no corrections): -5.56 eV per atom
- Energy above the lowest structure with this stoichiometry: 0.000 eV per atom
- Calculated volume: 29.4 Å³ per atom
- DFT formation energy: -708.9 meV/atom
- Spin magnetization: 0.0 μB/f.u.

=====

## Ac2Ni3P2 (GGA-PBE)

Data for Ac2Ni3P2 after structural relaxation.

```
data_Ac2Ni3P2
_chemical_formula_sum 'Ac4 Ni6 P4'
_cell_length_a 11.223
_cell_length_b 3.811
_cell_length_c 7.054
_cell_angle_alpha 90.00
_cell_angle_beta 119.74
_cell_angle_gamma 90.00
_space_group_name_H-M_alt 'C 1 2/m 1'
_space_group_IT_number 12
loop_
_space_group_symop_operation_xyz
'x,y,z'
'-x,-y,-z'
'-x,y,-z'
'x,-y,z'
'x+1/2,y+1/2,z'
'-x+1/2,-y+1/2,-z'
'-x+1/2,y+1/2,-z'
'x+1/2,-y+1/2,z'
loop_
_atom_site_label
_atom_site_type_symbol
_atom_site_fract_x
_atom_site_fract_y
_atom_site_fract_z
Ac1 Ac 0.128 0.000 0.266
Ni1 Ni 0.000 0.500 0.500
Ni2 Ni 0.160 0.500 0.916
P1 P 0.150 0.000 0.734
```

- Crystal system: monoclinic
- Total DFT energy (no corrections): -5.87 eV per atom
- Calculated volume: 18.7 Å³ per atom
- DFT formation energy: -670.5 meV/atom
- Spin magnetization: 0.0 μB/f.u.

=====

## AcNi4P2 (GGA-PBE)

Data for AcNi4P2 after structural relaxation.

```
data_AcNi4P2
_chemical_formula_sum 'Ac2 Ni8 P4'
_cell_length_a 7.524
_cell_length_b 7.524
_cell_length_c 3.613
_cell_angle_alpha 90.00
_cell_angle_beta 90.00
_cell_angle_gamma 90.00
_space_group_name_H-M_alt 'P 42/m n m'
_space_group_IT_number 136
_space_group_name_Hall '-P 4n 2n'
loop_
_atom_site_label
_atom_site_type_symbol
_atom_site_fract_x
_atom_site_fract_y
_atom_site_fract_z
Ac1 Ac 0.000 0.000 0.000
Ni1 Ni 0.089 0.344 0.500
P1 P 0.223 0.777 0.500
```

- Crystal system: tetragonal
- Total DFT energy (no corrections): -6.03 eV per atom
- Calculated volume: 14.6 Å³ per atom
- DFT formation energy: -596.5 meV/atom
- Spin magnetization: 0.0 μB/f.u.

=====

## Ac2NiP (GGA-PBE)

Data for Ac2NiP after structural relaxation.

```
data_Ac2NiP
_chemical_formula_sum 'Ac2 Ni1 P1'
_cell_length_a 5.220
_cell_length_b 5.220
_cell_length_c 3.795
_cell_angle_alpha 90.00
_cell_angle_beta 90.00
_cell_angle_gamma 90.00
_space_group_name_H-M_alt 'P 4/m m m'
_space_group_IT_number 123
_space_group_name_Hall '-P 4 2'
loop_
_atom_site_label
_atom_site_type_symbol
_atom_site_fract_x
_atom_site_fract_y
_atom_site_fract_z
Ac1 Ac 0.000 0.500 0.000
Ni1 Ni 0.000 0.000 0.500
P1 P 0.500 0.500 0.500
```

- Crystal system: tetragonal
- Total DFT energy (no corrections): -5.44 eV per atom
- Energy above the lowest structure with this stoichiometry: 0.122 eV per atom
- Calculated volume: 25.9 Å³ per atom
- DFT formation energy: -587.2 meV/atom
- Spin magnetization: 0.0 μB/f.u.

=====

## Ac2NiP (GGA-PBE)

Data for Ac2NiP after structural relaxation.

```
data_Ac2NiP
_chemical_formula_sum 'Ac8 Ni4 P4'
_cell_length_a 7.463
_cell_length_b 7.463
_cell_length_c 7.463
_cell_angle_alpha 90.00
_cell_angle_beta 90.00
_cell_angle_gamma 90.00
_space_group_name_H-M_alt 'F m -3 m'
_space_group_IT_number 225
_space_group_name_Hall '-F 4 2 3'
loop_
_atom_site_label
_atom_site_type_symbol
_atom_site_fract_x
_atom_site_fract_y
_atom_site_fract_z
Ac1 Ac 0.250 0.250 0.250
Ni1 Ni 0.000 0.000 0.000
P1 P 0.000 0.000 0.500
```

- Crystal system: cubic
- Total DFT energy (no corrections): -5.35 eV per atom
- Energy above the lowest structure with this stoichiometry: 0.212 eV per atom
- Calculated volume: 26.0 Å³ per atom
- DFT formation energy: -496.8 meV/atom
- Spin magnetization: 0.0 μB/f.u.

=====

## AcNi2P3 (GGA-PBE)

Data for AcNi2P3 after structural relaxation.

```
data_AcNi2P3
_chemical_formula_sum 'Ac4 Ni8 P12'
_cell_length_a 7.231
_cell_length_b 10.447
_cell_length_c 5.648
_cell_angle_alpha 90.00
_cell_angle_beta 90.00
_cell_angle_gamma 90.00
_space_group_name_H-M_alt 'C m c m'
_space_group_IT_number 63
_space_group_name_Hall '-C 2c 2'
loop_
_atom_site_label
_atom_site_type_symbol
_atom_site_fract_x
_atom_site_fract_y
_atom_site_fract_z
Ac1 Ac 0.000 0.210 0.250
Ni1 Ni 0.178 0.500 0.000
P1 P 0.000 0.389 0.750
P2 P 0.149 0.111 0.750
```

- Crystal system: orthorhombic
- Total DFT energy (no corrections): -6.14 eV per atom
- Calculated volume: 17.8 Å³ per atom
- DFT formation energy: -825.9 meV/atom
- Spin magnetization: 0.0 μB/f.u.

=====

## AcNi12P7 (GGA-PBE)

Data for AcNi12P7 after structural relaxation.

```
data_AcNi12P7
_chemical_formula_sum 'Ac3 Ni36 P21'
_cell_length_a 11.9527
_cell_length_b 11.9527
_cell_length_c 6.3847
_cell_angle_alpha 90.00
_cell_angle_beta 90.00
_cell_angle_gamma 120.00
_space_group_name_H-M_alt 'R -3'
_space_group_IT_number 148
_space_group_name_Hall '-R 3'
loop_
_atom_site_label
_atom_site_type_symbol
_atom_site_fract_x
_atom_site_fract_y
_atom_site_fract_z
Ac1 Ac 0.0000 0.0000 0.0000
Ni1 Ni 0.0418 0.5084 0.6755
Ni2 Ni 0.0445 0.2104 0.3985
P1 P 0.0000 0.0000 0.5000
P2 P 0.0090 0.7659 0.2638
```

- Crystal system: trigonal
- Total DFT energy (no corrections): -5.92 eV per atom
- Calculated volume: 13.2 Å³ per atom
- DFT formation energy: -349.9 meV/atom
- Spin magnetization: 0.0 μB/f.u.

=====

## AcNi3P2 (GGA-PBE)

Data for AcNi3P2 after structural relaxation.

```
data_AcNi3P2
_chemical_formula_sum 'Ac4 Ni12 P8'
_cell_length_a 15.947
_cell_length_b 3.905
_cell_length_c 6.470
_cell_angle_alpha 90.00
_cell_angle_beta 90.09
_cell_angle_gamma 90.00
_space_group_name_H-M_alt 'C 1 2/m 1'
_space_group_IT_number 12
loop_
_space_group_symop_operation_xyz
'x,y,z'
'-x,-y,-z'
'-x,y,-z'
'x,-y,z'
'x+1/2,y+1/2,z'
'-x+1/2,-y+1/2,-z'
'-x+1/2,y+1/2,-z'
'x+1/2,-y+1/2,z'
loop_
_atom_site_label
_atom_site_type_symbol
_atom_site_fract_x
_atom_site_fract_y
_atom_site_fract_z
Ac1 Ac 0.089 0.000 0.250
Ni1 Ni 0.121 0.000 0.750
Ni2 Ni 0.199 0.500 0.564
Ni3 Ni 0.200 0.500 0.936
P1 P 0.065 0.500 0.752
P2 P 0.244 0.500 0.250
```

- Crystal system: monoclinic
- Total DFT energy (no corrections): -6.16 eV per atom
- Energy above the lowest structure with this stoichiometry: 0.000 eV per atom
- Calculated volume: 16.8 Å³ per atom
- DFT formation energy: -786.0 meV/atom
- Spin magnetization: 0.0 μB/f.u.